Entry 1:
NaLiTe2O8 | Alexandria via LeMat-Bulk | PBE | optimized geometry; formation energy without anion corrections = -0.7653 eV per atom; spin magnetization = 0.1671 μB/atom; SG = No. 147
1.0
5.502 0.000 0.000
-2.751 4.765 0.000
0.000 0.000 6.110
Na Li Te O
1 1 2 8
Direct
0.000 0.000 0.500 Na
0.000 0.000 0.000 Li
0.667 0.333 0.058 Te
0.333 0.667 0.942 Te
0.948 0.633 0.858 O
0.367 0.315 0.858 O
0.685 0.052 0.858 O
0.052 0.367 0.142 O
0.633 0.685 0.142 O
0.315 0.948 0.142 O
0.667 0.333 0.373 O
0.333 0.667 0.627 O

Entry 2:
Na2Li3TeO6 | Alexandria via LeMat-Bulk | PBE | optimized geometry; formation energy without anion corrections = -1.5363 eV per atom; spin magnetization = 0.0896 μB/atom; SG = No. 12
1.0
-1.465 3.387 -4.398
-2.320 -5.202 0.721
-2.351 2.582 3.940
Na Li Te O
2 3 1 6
Direct
0.329 0.671 0.000 Na
0.671 0.329 0.000 Na
0.136 0.864 0.500 Li
0.864 0.136 0.500 Li
0.500 0.500 0.500 Li
0.000 0.000 0.000 Te
0.923 0.651 0.757 O
0.787 0.787 0.226 O
0.077 0.349 0.243 O
0.651 0.923 0.757 O
0.213 0.213 0.774 O
0.349 0.077 0.243 O

Entry 3:
NaLiTiO3 | Alexandria via LeMat-Bulk | PBE | optimized geometry; formation energy without anion corrections = -2.4903 eV per atom; spin magnetization = 0.0000 μB/atom; SG = No. 11
1.0
-1.452 -0.709 2.487
6.323 0.690 3.888
-0.861 5.740 1.134
Na Li Ti O
2 2 2 6
Direct
0.250 0.318 0.419 Na
0.750 0.682 0.581 Na
0.250 0.016 0.797 Li
0.750 0.984 0.203 Li
0.250 0.681 0.091 Ti
0.750 0.319 0.909 Ti
0.750 0.817 0.926 O
0.250 0.183 0.074 O
0.250 0.820 0.327 O
0.750 0.180 0.673 O
0.750 0.514 0.197 O
0.250 0.486 0.803 O

Entry 4:
Na2LiTiO4 | Alexandria via LeMat-Bulk | PBE | optimized geometry; formation energy without anion corrections = -1.9268 eV per atom; spin magnetization = 0.1286 μB/atom; SG = No. 121
1.0
5.487 0.000 0.000
2.744 4.208 0.000
2.744 0.000 4.208
Na Li Ti O
2 1 1 4
Direct
0.000 0.500 0.500 Na
0.500 0.500 0.500 Na
0.500 0.000 0.000 Li
0.000 0.000 0.000 Ti
0.054 0.331 0.000 O
0.946 0.000 0.669 O
0.615 0.000 0.331 O
0.385 0.669 0.000 O

Entry 5:
NaLiTi2O4 | Alexandria via LeMat-Bulk | PBE | optimized geometry; formation energy without anion corrections = -2.4474 eV per atom; spin magnetization = 0.0000 μB/atom; SG = No. 63
1.0
-1.529 -2.591 0.732
1.223 -0.304 -5.067
9.075 -4.658 2.468
Na Li Ti O
2 2 4 8
Direct
0.104 0.207 0.750 Na
0.896 0.793 0.250 Na
0.826 0.651 0.750 Li
0.174 0.349 0.250 Li
0.375 0.750 0.555 Ti
0.625 0.250 0.055 Ti
0.625 0.250 0.445 Ti
0.375 0.750 0.945 Ti
0.266 0.532 0.102 O
0.734 0.468 0.602 O
0.734 0.468 0.898 O
0.266 0.532 0.398 O
0.000 0.000 0.500 O
0.000 0.000 0.000 O
0.425 0.849 0.750 O
0.575 0.151 0.250 O

Entry 6:
Na5Li3Ti5O14 | Alexandria via LeMat-Bulk | PBE | optimized geometry; formation energy without anion corrections = -2.5521 eV per atom; spin magnetization = 0.0000 μB/atom; energy relative to the lowest polymorph listed for this composition = 0.000 eV/atom; SG = No. 1
1.0
5.240 -0.003 0.024
-0.902 7.006 -0.008
-1.604 -0.269 8.103
Na Li Ti O
5 3 5 14
Direct
0.514 0.999 0.497 Na
0.913 0.842 0.344 Na
0.646 0.309 0.814 Na
0.075 0.136 0.641 Na
0.357 0.707 0.210 Na
0.170 0.470 0.911 Li
0.856 0.711 0.711 Li
0.567 0.151 0.141 Li
0.019 0.987 0.994 Ti
0.458 0.858 0.869 Ti
0.272 0.579 0.584 Ti
0.693 0.425 0.428 Ti
0.122 0.281 0.265 Ti
0.126 0.751 0.953 O
0.753 0.980 0.782 O
0.206 0.826 0.618 O
0.486 0.596 0.803 O
0.973 0.449 0.660 O
0.310 0.099 0.900 O
0.601 0.672 0.478 O
0.044 0.533 0.354 O
0.682 0.882 0.074 O
0.411 0.311 0.526 O
0.836 0.178 0.376 O
0.462 0.401 0.220 O
0.947 0.271 0.051 O
0.216 0.025 0.225 O

Entry 7:
Na5Li3Ti5O14 | Alexandria via LeMat-Bulk | PBE | optimized geometry; formation energy without anion corrections = -2.5307 eV per atom; spin magnetization = 0.0000 μB/atom; energy relative to the lowest polymorph listed for this composition = 0.021 eV/atom; SG = No. 1
1.0
5.232 0.000 0.005
-0.934 6.966 -0.006
-1.662 -0.010 8.027
Na Li Ti O
5 3 5 14
Direct
0.654 0.294 0.800 Na
0.072 0.137 0.640 Na
0.508 0.004 0.494 Na
0.904 0.858 0.358 Na
0.357 0.733 0.223 Na
0.242 0.446 0.956 Li
0.860 0.703 0.713 Li
0.791 0.568 0.075 Li
0.015 0.989 0.997 Ti
0.448 0.857 0.870 Ti
0.281 0.574 0.591 Ti
0.692 0.431 0.410 Ti
0.119 0.283 0.265 Ti
0.121 0.744 0.961 O
0.303 0.090 0.895 O
0.492 0.580 0.810 O
0.746 0.982 0.784 O
0.209 0.823 0.624 O
0.971 0.448 0.646 O
0.395 0.313 0.509 O
0.596 0.675 0.482 O
0.019 0.546 0.330 O
0.838 0.189 0.380 O
0.194 0.029 0.229 O
0.461 0.429 0.203 O
0.689 0.842 0.071 O
0.954 0.285 0.044 O

Entry 8:
Na3LiTi2O6 | Alexandria via LeMat-Bulk | PBE | optimized geometry; formation energy without anion corrections = -2.4670 eV per atom; spin magnetization = 0.0000 μB/atom; SG = No. 12
1.0
-3.968 -2.416 -2.435
3.344 -2.769 2.944
-2.929 2.544 4.149
Na Li Ti O
3 1 2 6
Direct
0.159 0.841 0.500 Na
0.841 0.159 0.500 Na
0.500 0.500 0.500 Na
0.000 0.000 0.000 Li
0.332 0.668 0.000 Ti
0.668 0.332 0.000 Ti
0.933 0.571 0.799 O
0.706 0.706 0.201 O
0.067 0.429 0.201 O
0.571 0.933 0.799 O
0.294 0.294 0.799 O
0.429 0.067 0.201 O